Here is a geometry-optimized Er11Zn4In9 structure from the Alexandria database. Energies are from PBE.

- uncorrected energy (eV per cell) = -90.03
- M_tot (μB/cell) = 0.00
- symmetry = Cmmm, No. 65

a b c (Å): 3.6866 13.1204 13.1204
angles (deg): 112.84 90.00 90.00
Closest atoms and distances in Å follow each position.
Atoms (fractional coordinates):
Er: 0.0000 0.3693 0.6307  4 Zn 2.94
Er: 0.0000 0.5881 0.9349  2 Zn 2.93, 4 In 3.18-3.22
Zn: 0.5000 0.5507 0.7506  6 Er 2.93-2.94, 3 In 3.05-3.09
Zn: 0.5000 0.2494 0.4493  6 Er 2.93-2.94, 3 In 3.05-3.09
In: 0.5000 0.7839 0.9306  1 Zn 3.05, 8 Er 3.18-3.37, 1 In 3.21
In: 0.5000 0.9306 0.7839  1 Zn 3.05, 8 Er 3.18-3.37, 1 In 3.21
Zn: 0.5000 0.4493 0.2494  6 Er 2.93-2.94, 3 In 3.05-3.09
Er: 0.0000 0.3028 0.3028  4 Zn 2.94
In: 0.5000 0.2161 0.0694  1 Zn 3.05, 8 Er 3.18-3.37, 1 In 3.21
Er: 0.0000 0.4119 0.0651  2 Zn 2.93, 4 In 3.18-3.22
In: 0.5000 0.3695 0.8438  1 Zn 3.07, 1 In 3.10, 8 Er 3.22-3.35
Er: 0.0000 0.8387 0.1613  8 In 3.28-3.37, 3 Er 3.47-3.53
Er: 0.0000 0.6972 0.6972  4 Zn 2.94
Er: 0.0000 0.1613 0.8387  8 In 3.28-3.37, 3 Er 3.47-3.53
In: 0.5000 0.6305 0.1562  1 Zn 3.07, 1 In 3.10, 8 Er 3.22-3.35
In: 0.5000 0.1562 0.6305  1 Zn 3.07, 1 In 3.10, 8 Er 3.22-3.35
In: 0.5000 0.8438 0.3695  1 Zn 3.07, 1 In 3.10, 8 Er 3.22-3.35
Zn: 0.5000 0.7506 0.5507  6 Er 2.93-2.94, 3 In 3.05-3.09
In: 0.5000 0.0694 0.2161  1 Zn 3.05, 8 Er 3.18-3.37, 1 In 3.21
Er: 0.0000 0.0651 0.4119  2 Zn 2.93, 4 In 3.18-3.22
In: 0.5000 0.5000 0.5000  4 Zn 3.09, 8 Er 3.40
Er: 0.0000 0.0000 0.0000  8 In 3.20, 2 Er 3.53
Er: 0.0000 0.9349 0.5881  2 Zn 2.93, 4 In 3.18-3.22
Er: 0.0000 0.6307 0.3693  4 Zn 2.94



Here is a geometry-optimized SmMnCo2 structure from the Alexandria database. Energies are from PBE.

- uncorrected energy (eV per cell) = -27.43
- M_tot (μB/cell) = 4.56
- symmetry = P4/mmm, No. 123

a b c (Å): 3.1081 3.1081 6.4266
angles (deg): 90.00 90.00 90.00
Closest atoms and distances in Å follow each position.
Atoms (fractional coordinates):
Mn: 0.5000 0.5000 0.0000  8 Co 2.53
Sm: 0.5000 0.5000 0.5000  8 Co 2.94, 4 Sm 3.11, 2 Mn 3.21
Co: 0.0000 0.0000 0.1953  1 Co 2.51, 4 Mn 2.53
Co: 0.0000 0.0000 0.8047  1 Co 2.51, 4 Mn 2.53



Here is a geometry-optimized Y2HPtS structure from the Alexandria database. Energies are from PBE.

- uncorrected energy (eV per cell) = -31.42
- M_tot (μB/cell) = 0.00
- symmetry = P4/mmm, No. 123

a b c (Å): 4.9887 4.9887 3.5672
angles (deg): 90.00 90.00 90.00
Closest atoms and distances in Å follow each position.
Atoms (fractional coordinates):
S: 0.5000 0.5000 0.5000  8 Y 3.07
Pt: 0.0000 0.0000 0.5000  2 H 1.78
Y: 0.5000 0.0000 0.0000  2 H 2.49
H: 0.0000 0.0000 0.0000  2 Pt 1.78
Y: 0.0000 0.5000 0.0000  2 H 2.49



Here is a geometry-optimized Pm5NiRu2 structure from the Alexandria database. Energies are from PBE.

- uncorrected energy (eV per cell) = -99.46
- M_tot (μB/cell) = 0.00
- symmetry = I4/mcm, No. 140

a b c (Å): 7.6952 7.6952 8.7087
angles (deg): 116.22 116.22 90.00
Closest atoms and distances in Å follow each position.
Atoms (fractional coordinates):
Pm: 0.3069 0.8069 0.2796  3 Ru 2.88-3.01
Ru: 0.6345 0.1345 0.0000  8 Pm 2.88-3.01, 1 Ru 2.93
Ru: 0.1345 0.3655 0.0000  8 Pm 2.88-3.01, 1 Ru 2.93
Pm: 0.9727 0.4727 0.2796  3 Ru 2.88-3.01
Ru: 0.3655 0.8655 0.0000  8 Pm 2.88-3.01, 1 Ru 2.93
Pm: 0.8069 0.9727 0.2796  3 Ru 2.88-3.01
Ni: 0.7500 0.7500 0.5000  10 Pm 3.23-3.40
Ru: 0.8655 0.6345 0.0000  8 Pm 2.88-3.01, 1 Ru 2.93
Pm: 0.1931 0.0273 0.7204  3 Ru 2.88-3.01
Pm: 0.0273 0.5273 0.7204  3 Ru 2.88-3.01
Pm: 0.0000 0.0000 0.0000  4 Ru 3.00
Pm: 0.5000 0.5000 0.0000  4 Ru 3.00
Pm: 0.6931 0.1931 0.7204  3 Ru 2.88-3.01
Pm: 0.5273 0.6931 0.7204  3 Ru 2.88-3.01
Ni: 0.2500 0.2500 0.5000  10 Pm 3.23-3.40
Pm: 0.4727 0.3069 0.2796  3 Ru 2.88-3.01